12
Lattice="7.1464 -1.8277 0.0000 7.1464 1.8277 0.0000 -2.8135 0.0000 6.0848" Properties=species:S:1:pos:R:3 comment="UCo3P2, optimized geometry, DFT PBE" relative_energy_mev_per_atom=92 dos_at_fermi_per_ev_fu=8.320 pbc="T T T"
U 1.9996 0.0000 0.3744
U 9.4796 0.0000 5.7104
Co -0.4210 0.0000 2.2492
Co 2.9580 0.0000 3.3951
Co 4.8751 0.0000 1.8392
Co 6.6041 0.0000 4.2456
Co 8.5213 0.0000 2.6898
Co 11.9002 0.0000 3.8356
P 0.8280 0.0000 4.0931
P 4.5132 0.0000 4.9790
P 6.9661 0.0000 1.1058
P 10.6512 0.0000 1.9917

---

8
Lattice="-3.3012 3.3012 2.7382 3.3012 -3.3012 2.7382 3.3012 3.3012 -2.7382" Properties=species:S:1:pos:R:3 comment="BeAu2F, optimized geometry, DFT PBE" relative_energy_mev_per_atom=0 formation_energy_uncorrected_mev_per_atom=-305 dos_at_fermi_per_ev_fu=0.800 pbc="T T T"
Be 0.0000 0.0000 0.0000
Be 0.0000 3.3012 1.3691
Au 4.9518 1.4418 -0.6845
Au 1.4418 1.6506 0.6845
Au -1.6506 1.8594 2.0536
Au 1.8594 1.6506 3.4227
F 3.3012 0.0000 1.3691
F 0.0000 0.0000 2.7382

---

4
Lattice="1.6138 0.9318 9.0298 -1.6138 0.9318 9.0298 0.0000 -1.8635 9.0298" Properties=species:S:1:pos:R:3 comment="AlPCl2, optimized geometry, DFT PBE" relative_energy_mev_per_atom=713 formation_energy_uncorrected_mev_per_atom=68 dos_at_fermi_per_ev_fu=1.557 pbc="T T T"
Al 0.0000 0.0000 0.0000
P 0.0000 0.0000 13.5447
Cl 0.0000 0.0000 11.2127
Cl 0.0000 0.0000 15.8767

---

8
Lattice="2.2324 1.2889 8.0405 -2.2324 1.2889 8.0405 0.0000 -2.5777 8.0405" Properties=species:S:1:pos:R:3 comment="TbCuSb2Rh4, optimized geometry, DFT PBE" formation_energy_uncorrected_mev_per_atom=-504 dos_at_fermi_per_ev_fu=5.605 pbc="T T T"
Tb 0.0000 0.0000 0.0000
Cu 0.0000 0.0000 12.0607
Sb 0.0000 0.0000 5.8734
Sb 0.0000 0.0000 18.2481
Rh 0.0000 0.0000 3.1375
Rh 0.0000 0.0000 9.5593
Rh 0.0000 0.0000 14.5622
Rh 0.0000 0.0000 20.9840

---

16
Lattice="5.1916 0.0000 0.0000 0.0000 5.1916 0.0000 0.0000 0.0000 21.0807" Properties=species:S:1:pos:R:3 comment="La12Pr3Tl, optimized geometry, DFT PBE" final_energy_ev_per_atom=-4.787 dos_at_fermi_per_ev_fu=23.841 pbc="T T T"
La 0.0000 0.0000 0.0000
La 0.0000 0.0000 5.2254
La 0.0000 0.0000 10.5404
La 0.0000 0.0000 15.8553
La 0.0000 2.5958 2.5408
La 0.0000 2.5958 7.8570
La 0.0000 2.5958 13.2238
La 0.0000 2.5958 18.5400
La 2.5958 0.0000 2.5408
La 2.5958 0.0000 7.8570
La 2.5958 0.0000 13.2238
La 2.5958 0.0000 18.5400
Pr 2.5958 2.5958 5.2018
Pr 2.5958 2.5958 10.5404
Pr 2.5958 2.5958 15.8790
Tl 2.5958 2.5958 0.0000

---

3
Lattice="0.0000 2.8338 2.8338 2.8338 0.0000 2.8338 2.8338 2.8338 0.0000" Properties=species:S:1:pos:R:3 comment="ZrBeSi, optimized geometry, DFT PBE" relative_energy_mev_per_atom=526 formation_energy_uncorrected_mev_per_atom=-226 dos_at_fermi_per_ev_fu=0.594 pbc="T T T"
Zr 0.0000 0.0000 0.0000
Be 1.4169 1.4169 1.4169
Si 2.8338 2.8338 2.8338

---

15
Lattice="5.8255 0.0000 0.0000 -2.9128 5.0451 0.0000 0.0000 0.0000 11.5376" Properties=species:S:1:pos:R:3 comment="La3Si2HgPt9, optimized geometry, DFT PBE" formation_energy_uncorrected_mev_per_atom=-803 dos_at_fermi_per_ev_fu=3.959 pbc="T T T"
La 0.0000 0.0000 0.0000
La 0.0000 3.3634 8.6627
La 2.9128 1.6817 2.8748
Si 0.0000 3.3634 1.8208
Si 2.9128 1.6817 9.7168
Hg 0.0000 0.0000 5.7688
Pt -1.4564 2.5225 0.0000
Pt 0.0000 1.6058 3.4070
Pt -1.5221 4.2422 3.4070
Pt 1.3906 0.8029 8.1306
Pt 2.9128 0.0000 0.0000
Pt 1.4564 2.5225 0.0000
Pt 1.5221 4.2422 3.4070
Pt 4.4349 0.8029 8.1306
Pt 2.9128 3.4393 8.1306

---

8
Lattice="5.6441 0.0000 0.0000 0.0000 5.6441 0.0000 0.0000 0.0000 5.8353" Properties=species:S:1:pos:R:3 comment="Pu4HgPd3, optimized geometry, DFT PBE" relative_energy_mev_per_atom=138 dos_at_fermi_per_ev_fu=28.142 pbc="T T T"
Pu 0.0000 2.8221 1.4230
Pu 0.0000 2.8221 4.4123
Pu 2.8221 0.0000 1.4230
Pu 2.8221 0.0000 4.4123
Hg 0.0000 0.0000 2.9177
Pd 0.0000 0.0000 0.0000
Pd 2.8221 2.8221 1.4659
Pd 2.8221 2.8221 4.3694

---

5
Lattice="5.2357 0.0000 0.0000 0.0000 5.2357 0.0000 0.0000 0.0000 5.3077" Properties=species:S:1:pos:R:3 comment="NaTlCd2Pd, optimized geometry, DFT PBE" relative_energy_mev_per_atom=79 dos_at_fermi_per_ev_fu=2.848 pbc="T T T"
Na 0.0000 0.0000 0.0000
Tl 2.6179 2.6179 0.0000
Cd 0.0000 2.6179 2.6538
Cd 2.6179 0.0000 2.6538
Pd 0.0000 0.0000 2.6538

---

8
Lattice="2.4437 1.4109 8.5612 -2.4437 1.4109 8.5612 0.0000 -2.8217 8.5612" Properties=species:S:1:pos:R:3 comment="DyMg2ZnHg4, optimized geometry, DFT PBE" final_energy_ev_per_atom=-1.516 dos_at_fermi_per_ev_fu=4.540 pbc="T T T"
Dy 0.0000 0.0000 0.0000
Mg 0.0000 0.0000 6.3304
Mg 0.0000 0.0000 19.3532
Zn 0.0000 0.0000 12.8418
Hg 0.0000 0.0000 3.2459
Hg 0.0000 0.0000 9.8115
Hg 0.0000 0.0000 15.8721
Hg 0.0000 0.0000 22.4377

---

19
Lattice="6.1637 3.5586 5.0729 -6.1637 3.5586 5.0729 0.0000 -7.1172 5.0729" Properties=species:S:1:pos:R:3 comment="La6TbSm12, optimized geometry, DFT PBE" relative_energy_mev_per_atom=0 dos_at_fermi_per_ev_fu=31.380 pbc="T T T"
La -2.4390 -2.6314 7.8883
La -3.4984 0.7965 7.3304
La 1.0594 -3.4279 7.3304
La -1.0594 3.4279 7.8883
La 3.4984 -0.7965 7.8883
La 2.4390 2.6314 7.3304
Tb 0.0000 0.0000 7.6094
Sm -1.5140 -5.5663 6.3438
Sm -5.5776 -1.4720 8.8750
Sm -1.0604 -1.8081 4.7173
Sm -4.0636 4.0943 6.3438
Sm -1.0356 1.8224 4.7173
Sm 2.0960 -0.0143 4.7173
Sm -2.0960 0.0143 10.5015
Sm 1.0356 -1.8224 10.5015
Sm 4.0636 -4.0943 8.8750
Sm 1.0604 1.8081 10.5014
Sm 5.5776 1.4720 6.3438
Sm 1.5140 5.5663 8.8750

---

4
Lattice="3.9122 0.0000 0.0000 0.0000 3.9122 0.0000 0.0000 0.0000 7.5932" Properties=species:S:1:pos:R:3 comment="Sr2AgSe, optimized geometry, DFT PBE" formation_energy_uncorrected_mev_per_atom=-1009 dos_at_fermi_per_ev_fu=1.539 pbc="T T T"
Sr 0.0000 0.0000 1.8309
Sr 0.0000 0.0000 5.7623
Ag 1.9561 1.9561 3.7966
Se 1.9561 1.9561 0.0000

---

15
Lattice="3.8348 0.0000 0.0000 0.0000 3.8348 0.0000 0.0000 0.0000 17.7376" Properties=species:S:1:pos:R:3 comment="Zr4Ni3As8, optimized geometry, DFT PBE" final_energy_ev_per_atom=-6.680 dos_at_fermi_per_ev_fu=5.196 pbc="T T T"
Zr 0.0000 1.9174 2.2035
Zr 0.0000 1.9174 11.2284
Zr 1.9174 0.0000 6.5092
Zr 1.9174 0.0000 15.5341
Ni 0.0000 0.0000 8.8688
Ni 1.9174 1.9174 0.0000
Ni 1.9174 1.9174 8.8688
As 0.0000 0.0000 4.3497
As 0.0000 0.0000 13.3878
As 0.0000 1.9174 7.4358
As 0.0000 1.9174 16.4661
As 1.9174 0.0000 1.2714
As 1.9174 0.0000 10.3018
As 1.9174 1.9174 4.3525
As 1.9174 1.9174 13.3851

---

12
Lattice="6.1678 -3.5605 0.0000 6.1678 3.5605 0.0000 -4.1810 0.0000 6.6750" Properties=species:S:1:pos:R:3 comment="Hf3VS8, optimized geometry, DFT PBE" formation_energy_uncorrected_mev_per_atom=-1346 dos_at_fermi_per_ev_fu=3.707 pbc="T T T"
Hf 0.0000 0.0000 0.0000
Hf 3.0839 1.7802 0.0000
Hf 3.0839 -1.7802 0.0000
V 6.1678 0.0000 0.0000
S 2.0561 0.0000 1.4836
S 5.1859 1.7011 1.4286
S 0.0215 0.0000 5.2460
S 2.9688 1.7011 5.2463
S 5.1859 -1.7011 1.4286
S 8.1332 0.0000 1.4290
S 2.9688 -1.7011 5.2463
S 6.0986 0.0000 5.1913

---

12
Lattice="4.5786 0.0000 0.0000 0.0000 6.5643 0.0000 -1.9542 0.0000 6.8442" Properties=species:S:1:pos:R:3 comment="DyMg5Pd6, optimized geometry, DFT PBE" final_energy_ev_per_atom=-4.395 dos_at_fermi_per_ev_fu=3.679 pbc="T T T"
Dy 0.0000 0.0000 0.0000
Mg 0.0000 3.2821 0.0000
Mg 0.2347 0.0000 4.4941
Mg 0.2287 3.2821 4.5845
Mg 2.3956 3.2821 2.2597
Mg 2.3897 0.0000 2.3502
Pd 0.1082 1.6964 2.3209
Pd 0.1082 4.8679 2.3209
Pd 2.2893 1.7149 0.0000
Pd 2.2893 4.8494 0.0000
Pd 2.5162 1.6964 4.5233
Pd 2.5162 4.8679 4.5233

---

5
Lattice="-1.6259 1.6259 4.0158 1.6259 -1.6259 4.0158 1.6259 1.6259 -4.0158" Properties=species:S:1:pos:R:3 comment="Mn2H2Pt, optimized geometry, DFT PBE" relative_energy_mev_per_atom=0 dos_at_fermi_per_ev_fu=7.227 pbc="T T T"
Mn 0.0000 0.0000 1.3495
Mn 0.0000 0.0000 6.6822
H 1.6259 0.0000 2.0079
H 0.0000 1.6259 2.0079
Pt 0.0000 0.0000 4.0158

---

18
Lattice="6.8513 0.0000 0.0000 -3.4256 5.9334 0.0000 0.0000 0.0000 14.6760" Properties=species:S:1:pos:R:3 comment="RbLiCeCl6, optimized geometry, DFT PBE" formation_energy_uncorrected_mev_per_atom=-1957 dos_at_fermi_per_ev_fu=0.000 pbc="T T T"
Rb 0.0000 0.0000 0.0000
Rb 0.0000 0.0000 7.3380
Li 0.0000 3.9556 3.6690
Li 3.4256 1.9778 11.0070
Ce 0.0000 3.9556 11.0070
Ce 3.4256 1.9778 3.6690
Cl -1.2667 2.2195 2.1649
Cl -2.1369 3.7266 5.1731
Cl 1.2667 2.2195 5.1731
Cl -0.8701 5.9206 2.1649
Cl 2.5555 0.0127 9.5029
Cl 1.2888 2.2068 12.5111
Cl 2.1368 3.7266 2.1649
Cl 0.8701 5.9206 5.1731
Cl 4.2958 0.0127 12.5111
Cl 2.1589 3.7139 9.5029
Cl 5.5625 2.2068 9.5029
Cl 4.6924 3.7139 12.5111

---

8
Lattice="1.7336 -9.8071 0.0000 1.7336 9.8071 0.0000 0.0000 0.0000 5.0780" Properties=species:S:1:pos:R:3 comment="Ce2HgN, optimized geometry, DFT PBE" relative_energy_mev_per_atom=0 formation_energy_uncorrected_mev_per_atom=-899 dos_at_fermi_per_ev_fu=7.419 pbc="T T T"
Ce 1.7336 7.6165 3.8085
Ce 1.7336 4.1340 3.8085
Ce 1.7336 -4.1340 1.2695
Ce 1.7336 -7.6165 1.2695
Hg 1.7336 0.8587 3.8085
Hg 1.7336 -0.8587 1.2695
N 1.7336 3.8880 1.2695
N 1.7336 -3.8880 3.8085

---

4
Lattice="3.0760 -1.7601 0.0000 3.0760 1.7601 0.0000 -0.2968 0.0000 7.8513" Properties=species:S:1:pos:R:3 comment="LiP2Br, optimized geometry, DFT PBE" relative_energy_mev_per_atom=0 formation_energy_uncorrected_mev_per_atom=-499 pbc="T T T"
Li 0.0000 0.0000 0.0000
P 0.0157 0.0000 4.1131
P 2.0636 0.0000 5.3017
Br 4.1168 0.0000 1.2021

---

12
Lattice="3.6395 -6.3100 0.0000 3.6395 6.3100 0.0000 -2.4334 0.0000 6.9086" Properties=species:S:1:pos:R:3 comment="LaCe3Sm2Se6, optimized geometry, DFT PBE" formation_energy_uncorrected_mev_per_atom=-1852 dos_at_fermi_per_ev_fu=19.932 pbc="T T T"
La 0.0000 0.0000 0.0000
Ce 2.4228 4.2333 3.4543
Ce 2.4228 0.0000 3.4543
Ce 2.4228 -4.2333 3.4543
Sm 3.6395 2.1087 0.0000
Sm 3.6395 -2.1087 0.0000
Se 1.2323 2.1380 1.7334
Se 0.0368 0.0000 5.1935
Se 1.2323 -2.1380 1.7334
Se 3.6133 2.1380 5.1752
Se 4.8089 0.0000 1.7151
Se 3.6133 -2.1380 5.1752

---

13
Lattice="6.6613 -2.8084 0.0000 6.6613 2.8084 0.0000 -0.0465 0.0000 4.4756" Properties=species:S:1:pos:R:3 comment="Li3Cu8Rh2, optimized geometry, DFT PBE" final_energy_ev_per_atom=-4.019 dos_at_fermi_per_ev_fu=4.870 pbc="T T T"
Li 0.0000 0.0000 0.0000
Li 6.6381 1.6713 2.2378
Li 6.6381 -1.6713 2.2378
Cu 4.2052 1.5603 0.9087
Cu 2.2709 0.0000 1.3663
Cu 9.0710 1.5603 3.5669
Cu 5.9902 0.0000 0.8993
Cu 7.2860 0.0000 3.5763
Cu 4.2052 -1.5603 0.9087
Cu 11.0053 0.0000 3.1093
Cu 9.0710 -1.5603 3.5669
Rh 4.6598 0.0000 3.1308
Rh 8.6164 0.0000 1.3448